Density functional theory data (PBE) for a geometry-optimized CsAs3Pd5 structure.

Output
For the calculated density, the calculation gives 8.08 g/cm³. As for the uncorrected energy: -0.182 hartree per atom. The formation energy is -426 meV per atom.

abc: 3.967 13.661 13.497
angles: 90.00 90.00 90.00
Space group Cmcm (No. 63)
Symmetry-distinct sites (fractional):
Cs: 0.000 0.150 0.250 [4 per cell]
As: 0.000 0.125 0.750 [4 per cell]
As: 0.000 0.381 0.533 [8 per cell]
Pd: 0.000 0.000 0.000 [4 per cell]
Pd: 0.000 0.200 0.559 [8 per cell]
Pd: 0.000 0.431 0.145 [8 per cell]

Density functional theory data (PBE) for a geometry-optimized CsAsPd3 structure.

Output
For the calculated density, the calculation gives 7.55 g/cm³. As for the uncorrected energy: -0.163 hartree per atom. The calculation puts the relative energy among the computed polymorphs at 0 meV/atom. The formation energy is -217 meV per atom.

abc: 3.828 7.224 8.386
angles: 90.00 90.00 90.00
Space group Pmmn (No. 59, origin choice 2)
Symmetry-distinct sites (fractional):
Cs: 0.250 0.250 0.036 [2 per cell]
As: 0.250 0.250 0.468 [2 per cell]
Pd: 0.250 0.546 0.636 [4 per cell]
Pd: 0.250 0.750 0.330 [2 per cell]

Density functional theory data (PBE) for a geometry-optimized CsAs3Pd structure.

Output
For the calculated density, the calculation gives 4.20 g/cm³. As for the uncorrected energy: -0.073 hartree per atom. The calculation puts the relative energy among the computed polymorphs at 1736 meV/atom. The formation energy is 2022 meV per atom.

abc: 5.682 5.682 5.682
angles: 90.00 90.00 90.00
Space group Pm-3m (No. 221)
Symmetry-distinct sites (fractional):
Cs: 0.000 0.000 0.000 [1 per cell]
As: 0.000 0.000 0.500 [3 per cell]
Pd: 0.500 0.500 0.500 [1 per cell]

Density functional theory data (PBE) for a geometry-optimized Cs3As2Pd3 structure.

Output
For the calculated density, the calculation gives 5.63 g/cm³. As for the uncorrected energy: -0.136 hartree per atom. The formation energy is -275 meV per atom.

abc: 3.856 13.050 20.342
angles: 90.00 90.00 90.00
Space group Cmcm (No. 63)
Symmetry-distinct sites (fractional):
Cs: 0.000 0.074 0.250 [4 per cell]
Cs: 0.000 0.128 0.057 [8 per cell]
As: 0.000 0.190 0.663 [8 per cell]
Pd: 0.000 0.343 0.250 [4 per cell]
Pd: 0.000 0.394 0.115 [8 per cell]

Density functional theory data (PBE) for a geometry-optimized CsAs2Pd4 structure.

Output
For the calculated density, the calculation gives 7.45 g/cm³. As for the uncorrected energy: -0.177 hartree per atom. The formation energy is -388 meV per atom.

abc: 4.164 18.897 4.016
angles: 90.00 90.00 90.00
Space group Cmmm (No. 65)
Symmetry-distinct sites (fractional):
Cs: 0.000 0.000 0.000 [2 per cell]
As: 0.000 0.376 0.500 [4 per cell]
Pd: 0.000 0.194 0.500 [4 per cell]
Pd: 0.000 0.302 0.000 [4 per cell]

Density functional theory data (PBE) for a geometry-optimized CsAsPd structure.

Output
For the calculated density, the calculation gives 5.43 g/cm³. As for the uncorrected energy: -0.147 hartree per atom. The formation energy is -440 meV per atom.

abc: 4.543 5.970 7.987
angles: 85.67 73.58 67.66
Space group P-1 (No. 2)
Symmetry-distinct sites (fractional):
Cs: 0.228 0.213 0.334 [2 per cell]
As: 0.056 0.798 0.090 [2 per cell]
Pd: 0.343 0.389 0.925 [2 per cell]

Density functional theory data (PBE) for a geometry-optimized Cs2AsPd structure.

Output
For the calculated density, the calculation gives 4.84 g/cm³. As for the uncorrected energy: -0.092 hartree per atom. The formation energy is 373 meV per atom.

abc: 8.499 8.499 8.499
angles: 90.00 90.00 90.00
Space group Fm-3m (No. 225)
Symmetry-distinct sites (fractional):
Cs: 0.250 0.250 0.250 [8 per cell]
As: 0.000 0.000 0.000 [4 per cell]
Pd: 0.000 0.000 0.500 [4 per cell]

Density functional theory data (PBE) for a geometry-optimized Cs2AsPd structure.

Output
For the calculated density, the calculation gives 3.62 g/cm³. As for the uncorrected energy: -0.117 hartree per atom. The formation energy is -298 meV per atom.

abc: 13.171 13.171 4.728
angles: 90.00 90.00 90.00
Space group I-42d (No. 122)
Symmetry-distinct sites (fractional):
Cs: 0.069 0.250 0.125 [8 per cell]
As: 0.000 0.000 0.500 [4 per cell]
Pd: 0.000 0.000 0.000 [4 per cell]

Density functional theory data (PBE) for a geometry-optimized CsAsPd structure.

Output
For the calculated density, the calculation gives 5.59 g/cm³. As for the uncorrected energy: -0.142 hartree per atom. The formation energy is -312 meV per atom.

abc: 4.2504 4.2504 5.9628
angles: 90.00 90.00 120.00
Space group P-6m2 (No. 187)
Symmetry-distinct sites (fractional):
Cs: 0.0000 0.0000 0.0000 [1 per cell]
As: 0.6667 0.3333 0.5000 [1 per cell]
Pd: 0.3333 0.6667 0.5000 [1 per cell]

Density functional theory data (PBE) for a geometry-optimized CsAsPd3 structure.

Output
For the calculated density, the calculation gives 6.18 g/cm³. As for the uncorrected energy: -0.099 hartree per atom. The calculation puts the relative energy among the computed polymorphs at 1747 meV/atom. The formation energy is 1530 meV per atom.

abc: 5.213 5.213 5.213
angles: 90.00 90.00 90.00
Space group Pm-3m (No. 221)
Symmetry-distinct sites (fractional):
Cs: 0.000 0.000 0.000 [1 per cell]
As: 0.500 0.500 0.500 [1 per cell]
Pd: 0.000 0.000 0.500 [3 per cell]

Density functional theory data (PBE) for a geometry-optimized Cs4As2Pd structure.

Output
For the calculated density, the calculation gives 4.01 g/cm³. As for the uncorrected energy: -0.106 hartree per atom. The formation energy is -336 meV per atom.

abc: 6.2234 6.2234 29.2163
angles: 90.00 90.00 120.00
Space group R-3m (No. 166, hexagonal axes)
Symmetry-distinct sites (fractional):
Cs: 0.0000 0.0000 0.1285 [6 per cell]
Cs: 0.0000 0.0000 0.2900 [6 per cell]
As: 0.0000 0.0000 0.4181 [6 per cell]
Pd: 0.0000 0.0000 0.5000 [3 per cell]

Density functional theory data (PBE) for a geometry-optimized CsAs6Pd12 structure.

Output
For the calculated density, the calculation gives 8.71 g/cm³. As for the uncorrected energy: -0.189 hartree per atom. The formation energy is -343 meV per atom.

abc: 11.5426 11.5426 9.2195
angles: 90.00 90.00 120.00
Space group R-3m (No. 166, hexagonal axes)
Symmetry-distinct sites (fractional):
Cs: 0.0000 0.0000 0.0000 [3 per cell]
As: 0.0458 0.5229 0.2870 [18 per cell]
Pd: 0.0000 0.3723 0.5000 [18 per cell]
Pd: 0.0933 0.1865 0.3634 [18 per cell]